HfPaV2O8 (GGA+U, relaxed); SG = No. 82; volume = 138 Å³/cell; uncorrected energy = -8.979 eV per atom
1.0
-3.790 -0.540 -3.358
3.356 -1.408 -3.562
-0.357 -4.102 4.925
Hf Pa V O
1 1 2 8
direct
0.000 0.000 0.000 Hf
0.750 0.250 0.500 Pa
0.500 0.500 0.000 V
0.250 0.750 0.500 V
0.788 0.831 0.173 O
0.385 0.342 0.173 O
0.625 0.660 0.689 O
0.064 0.029 0.689 O
0.971 0.375 0.311 O
0.340 0.936 0.311 O
0.169 0.615 0.827 O
0.658 0.212 0.827 O